# 1
The following is a DFT calculation (PBE) of ReB4Pd after structural relaxation.

Cell lengths 2.9708, 2.9708, 7.2463 Å; angles 90.00, 90.00, 120.00 degrees
Element x y z (fractional)
B  0.6667  0.3333  0.2319
B  0.3333  0.6667  0.2319
B  0.6667  0.3333  0.7681
B  0.3333  0.6667  0.7681
Pd  0.0000  0.0000  0.5000
Re  0.0000  0.0000  0.0000

Space-group type = P6/mmm
Relative energy among the computed polymorphs = 0 meV per atom
V = 55.4 Å³ per cell
Size of the total moment = 0.01 μB per cell

=====

# 2
The following is a DFT calculation (PBE) of ReB4Pd after structural relaxation.

Cell lengths 4.5635, 4.5635, 4.5635 Å; angles 141.87, 107.42, 85.07 degrees
Element x y z (fractional)
B  0.5819  0.2472  0.3347
B  0.0874  0.7528  0.3347
B  0.9126  0.2472  0.6653
B  0.4181  0.7528  0.6653
Pd  0.0000  0.0000  0.0000
Re  0.5000  0.5000  0.0000

Space-group type = Immm
Relative energy among the computed polymorphs = 62 meV per atom
V = 54.2 Å³ per cell
Size of the total moment = 0.00 μB per cell

=====

# 3
The following is a DFT calculation (PBE) of BSbPd after structural relaxation.

Cell lengths 4.0961, 4.0961, 4.0961 Å; angles 60.00, 60.00, 60.00 degrees
Element x y z (fractional)
B  0.0000  0.0000  0.0000
Pd  0.2500  0.2500  0.2500
Sb  0.7500  0.7500  0.7500

Space-group type = F-43m
Relative energy among the computed polymorphs = 0 meV per atom
V = 48.6 Å³ per cell

=====

# 4
The following is a DFT calculation (PBE) of ScBPd3 after structural relaxation.

Cell lengths 4.2291, 4.2291, 4.2291 Å; angles 90.00, 90.00, 90.00 degrees
Element x y z (fractional)
B  0.0000  0.0000  0.0000
Pd  0.5000  0.0000  0.0000
Pd  0.0000  0.5000  0.0000
Pd  0.0000  0.0000  0.5000
Sc  0.5000  0.5000  0.5000

Space-group type = Pm-3m
V = 75.6 Å³ per cell
Calculated total energy = -31.27 eV for the cell shown
Size of the total moment = 0.00 μB per cell

=====

# 5
The following is a DFT calculation (PBE) of ScBPd after structural relaxation.

Cell lengths 4.1672, 4.1672, 4.1672 Å; angles 60.00, 60.00, 60.00 degrees
Element x y z (fractional)
B  0.2500  0.2500  0.2500
Pd  0.7500  0.7500  0.7500
Sc  0.0000  0.0000  0.0000

Space-group type = F-43m
Relative energy among the computed polymorphs = 334 meV per atom
V = 51.2 Å³ per cell
Size of the total moment = 0.00 μB per cell

=====

# 6
The following is a DFT calculation (PBE) of Sc2B6Pd after structural relaxation.

Cell lengths 8.9468, 11.2278, 3.5056 Å; angles 90.00, 90.00, 90.00 degrees
Element x y z (fractional)
B  0.8996  0.0265  0.5000
B  0.4457  0.0621  0.5000
B  0.2473  0.0769  0.5000
B  0.8649  0.1785  0.5000
B  0.5190  0.2124  0.5000
B  0.2006  0.2415  0.5000
B  0.7006  0.2585  0.5000
B  0.0190  0.2876  0.5000
B  0.3649  0.3215  0.5000
B  0.7473  0.4231  0.5000
B  0.9457  0.4379  0.5000
B  0.3996  0.4735  0.5000
B  0.6004  0.5265  0.5000
B  0.0543  0.5621  0.5000
B  0.2527  0.5769  0.5000
B  0.6351  0.6785  0.5000
B  0.9810  0.7124  0.5000
B  0.2994  0.7415  0.5000
B  0.7994  0.7585  0.5000
B  0.4810  0.7876  0.5000
B  0.1351  0.8215  0.5000
B  0.7527  0.9231  0.5000
B  0.5543  0.9379  0.5000
B  0.1004  0.9735  0.5000
Pd  0.3572  0.1806  0.0000
Pd  0.8572  0.3194  0.0000
Pd  0.1428  0.6806  0.0000
Pd  0.6428  0.8194  0.0000
Sc  0.6778  0.0853  0.0000
Sc  0.0545  0.1270  0.0000
Sc  0.5545  0.3730  0.0000
Sc  0.1778  0.4147  0.0000
Sc  0.8222  0.5853  0.0000
Sc  0.4455  0.6270  0.0000
Sc  0.9455  0.8730  0.0000
Sc  0.3222  0.9147  0.0000

Space-group type = Pbam
V = 352.2 Å³ per cell
Calculated total energy = -252.82 eV for the cell shown
Size of the total moment = 0.03 μB per cell

=====

The highest V belongs to which entry?
Sc2B6Pd

=====

What did the fourth record say?
The following is a DFT calculation (PBE) of ScBPd3 after structural relaxation.

Cell lengths 4.2291, 4.2291, 4.2291 Å; angles 90.00, 90.00, 90.00 degrees
Element x y z (fractional)
B  0.0000  0.0000  0.0000
Pd  0.5000  0.0000  0.0000
Pd  0.0000  0.5000  0.0000
Pd  0.0000  0.0000  0.5000
Sc  0.5000  0.5000  0.5000

Space-group type = Pm-3m
V = 75.6 Å³ per cell
Calculated total energy = -31.27 eV for the cell shown
Size of the total moment = 0.00 μB per cell